Entry 1:
Compound: La2PrPt2
Source: Alexandria via LeMat-Bulk
Functional: PBE
Structure: relaxed

Summary:
N(E_F) = 0.81 states/eV/atom
energy of formation = -0.951 eV per atom

a b c (Å): 8.114 8.114 4.103
angles (deg): 90.00 90.00 90.00
Fractional coordinates of all 10 atoms:
La: 0.163 0.337 0.000
La: 0.337 0.837 0.000
La: 0.663 0.163 0.000
La: 0.837 0.663 0.000
Pr: 0.000 0.000 0.500
Pr: 0.500 0.500 0.500
Pt: 0.135 0.635 0.500
Pt: 0.365 0.135 0.500
Pt: 0.635 0.865 0.500
Pt: 0.865 0.365 0.500

Entry 2:
Compound: LaPr2Pt9
Source: Alexandria via LeMat-Bulk
Functional: PBE
Structure: relaxed

Summary:
N(E_F) = 0.79 states/eV/atom
energy of formation = -0.932 eV per atom

a b c (Å): 9.510 9.510 9.510
angles (deg): 33.59 33.59 33.59
Fractional coordinates of all 12 atoms:
La: 0.000 0.000 0.000
Pr: 0.140 0.140 0.140
Pr: 0.860 0.860 0.860
Pt: 0.081 0.586 0.586
Pt: 0.333 0.333 0.333
Pt: 0.414 0.414 0.919
Pt: 0.414 0.919 0.414
Pt: 0.500 0.500 0.500
Pt: 0.586 0.081 0.586
Pt: 0.586 0.586 0.081
Pt: 0.667 0.667 0.667
Pt: 0.919 0.414 0.414

Entry 3:
Compound: LaPrPt3
Source: Alexandria via LeMat-Bulk
Functional: PBE
Structure: relaxed

Summary:
N(E_F) = 0.56 states/eV/atom
energy of formation = -1.037 eV per atom

a b c (Å): 7.142 8.024 8.069
angles (deg): 90.00 90.00 90.00
Fractional coordinates of all 20 atoms:
La: 0.213 0.138 0.000
La: 0.287 0.638 0.500
La: 0.713 0.362 0.500
La: 0.787 0.862 0.000
Pr: 0.212 0.138 0.500
Pr: 0.288 0.638 0.000
Pr: 0.712 0.362 0.000
Pr: 0.788 0.862 0.500
Pt: 0.000 0.500 0.249
Pt: 0.000 0.500 0.751
Pt: 0.122 0.856 0.252
Pt: 0.122 0.856 0.748
Pt: 0.378 0.356 0.248
Pt: 0.378 0.356 0.752
Pt: 0.500 0.000 0.251
Pt: 0.500 0.000 0.749
Pt: 0.622 0.644 0.248
Pt: 0.622 0.644 0.752
Pt: 0.878 0.144 0.252
Pt: 0.878 0.144 0.748

Entry 4:
Compound: La5PrPt2
Source: Alexandria via LeMat-Bulk
Functional: PBE
Structure: relaxed

Summary:
N(E_F) = 1.33 states/eV/atom
energy of formation = -0.538 eV per atom

a b c (Å): 7.185 7.185 19.186
angles (deg): 90.00 90.00 147.94
Fractional coordinates of all 16 atoms:
La: 0.056 0.944 0.590
La: 0.056 0.944 0.910
La: 0.331 0.669 0.560
La: 0.331 0.669 0.940
La: 0.440 0.560 0.250
La: 0.560 0.440 0.750
La: 0.669 0.331 0.060
La: 0.669 0.331 0.440
La: 0.944 0.056 0.090
La: 0.944 0.056 0.410
Pr: 0.286 0.714 0.750
Pr: 0.714 0.286 0.250
Pt: 0.293 0.707 0.134
Pt: 0.293 0.707 0.366
Pt: 0.707 0.293 0.634
Pt: 0.707 0.293 0.866

- Among the records above, which one has the lowest N(E_F)?
  LaPrPt3